[1]
Entry from OQMD via LeMat-Bulk: Co2Sb after structural relaxation (PBE).

The calculation puts the total energy at -15.60 eV/f.u.

It has space group P4_2/mnm (No. 136), with a = 5.2639 Å, b = 5.2639 Å, c = 3.9738 Å, α = 90.00°, β = 90.00° and γ = 90.00°. The inequivalent atoms are Co at (0.1809, 0.1809, 0.0000) and Sb at (0.0000, 0.0000, 0.5000).

***

[2]
Entry from OQMD via LeMat-Bulk: Mg2CoW after structural relaxation (PBE).

The calculation puts the total energy at -21.35 eV/f.u.

It has space group F-43m (No. 216), with a = 6.2369 Å, b = 6.2369 Å, c = 6.2369 Å, α = 90.00°, β = 90.00° and γ = 90.00°. The inequivalent atoms are Mg at (0.0000, 0.0000, 0.0000), Mg at (0.2500, 0.2500, 0.2500), Co at (0.2500, 0.2500, 0.7500) and W at (0.0000, 0.0000, 0.5000).

***

[3]
Entry from OQMD via LeMat-Bulk: HfAlCd after structural relaxation (PBE).

The calculation puts the total energy at -13.86 eV/f.u.

It has space group F-43m (No. 216), with a = 6.4138 Å, b = 6.4138 Å, c = 6.4138 Å, α = 90.00°, β = 90.00° and γ = 90.00°. The inequivalent atoms are Hf at (0.0000, 0.0000, 0.0000), Al at (0.2500, 0.2500, 0.7500) and Cd at (0.0000, 0.0000, 0.5000).

***

[4]
Entry from OQMD via LeMat-Bulk: BaPrB2Pt8 after structural relaxation (PBE).

The calculation puts the total energy at -76.17 eV/f.u.

It has space group P6/mmm (No. 191), with a = 5.5976 Å, b = 5.5976 Å, c = 7.6449 Å, α = 90.00°, β = 90.00° and γ = 120.00°. The inequivalent atoms are Ba at (0.0000, 0.0000, 0.0000), Pr at (0.0000, 0.0000, 0.5000), B at (0.3333, 0.6667, 0.0000), Pt at (0.0000, 0.5000, 0.2004) and Pt at (0.3333, 0.6667, 0.5000).

***

[5]
Entry from OQMD via LeMat-Bulk: ErCuSnTe3 after structural relaxation (PBE).

The calculation puts the total energy at -25.31 eV/f.u.

It has space group Pnma (No. 62), with a = 8.8872 Å, b = 4.4286 Å, c = 17.1763 Å, α = 90.00°, β = 90.00° and γ = 90.00°. The inequivalent atoms are Er at (0.2499, 0.2500, 0.0374), Cu at (0.1257, 0.2500, 0.3701), Sn at (0.0814, 0.2500, 0.7732), Te at (0.0189, 0.2500, 0.5949), Te at (0.1161, 0.7500, 0.9389) and Te at (0.1896, 0.2500, 0.2173).

***

[6]
Entry from OQMD via LeMat-Bulk: BiOs after structural relaxation (PBE).

The calculation puts the total energy at -13.84 eV/f.u.

It has space group Cmcm (No. 63), with a = 4.1198 Å, b = 10.4731 Å, c = 4.0364 Å, α = 90.00°, β = 90.00° and γ = 90.00°. The inequivalent atoms are Bi at (0.0000, 0.1517, 0.2500) and Os at (0.0000, 0.4349, 0.2500).

***

[7]
Entry from OQMD via LeMat-Bulk: LiIrSeO after structural relaxation (PBE).

The calculation puts the total energy at -21.92 eV/f.u.

It has space group Pmc2_1 (No. 26), with a = 3.4377 Å, b = 6.9209 Å, c = 5.1970 Å, α = 90.00°, β = 90.00° and γ = 90.00°. The inequivalent atoms are Li at (0.0000, 0.1905, 0.0000), Ir at (0.5000, 0.4357, 0.4090), Se at (0.0000, 0.1970, 0.5129) and O at (0.5000, 0.3017, 0.0543).

***

[8]
Entry from OQMD via LeMat-Bulk: SmMg2Bi2 after structural relaxation (PBE).

The calculation puts the total energy at -18.03 eV/f.u.

It has space group P-3m1 (No. 164), with a = 4.8076 Å, b = 4.8076 Å, c = 7.4675 Å, α = 90.00°, β = 90.00° and γ = 120.00°. The inequivalent atoms are Sm at (0.0000, 0.0000, 0.0000), Mg at (0.3333, 0.6667, 0.6429) and Bi at (0.3333, 0.6667, 0.2424).